i | Below is crystalline V2CoI at its relaxed geometry, with properties calculated at the PBE level.

```
8
Lattice="-3.483 2.829 3.341 -1.102 -4.698 2.830 2.003 0.185 6.615" Properties=species:S:1:pos:R:3 pbc="T T T"
I 0.000 0.000 0.000
I -1.886 1.040 6.521
Co -2.292 -0.934 3.086
Co -0.695 -2.724 6.266
V -1.533 0.999 3.827
V -0.904 -2.308 4.110
V -0.305 -0.941 7.504
V -2.420 -1.118 10.133
```

***

ii | Below is crystalline V2CoI at its relaxed geometry, with properties calculated at the PBE level.

```
4
Lattice="4.096 -0.558 1.393 2.073 3.252 2.037 0.831 -0.281 4.273" Properties=species:S:1:pos:R:3 pbc="T T T"
I 3.500 1.207 3.852
Co 0.000 0.000 0.000
V 1.750 0.603 1.926
V 5.250 1.810 5.777
```

***

The structure with the greatest stability is ii.

***

i | Below is crystalline CoWI2 at its relaxed geometry, with properties calculated at the PBE level.

```
4
Lattice="-2.995 -3.175 -1.920 -4.625 0.085 1.154 -3.232 1.409 -3.209" Properties=species:S:1:pos:R:3 pbc="T T T"
I -2.713 -0.420 -0.994
I -8.140 -1.260 -2.981
Co 0.000 0.000 0.000
W -5.426 -0.840 -1.987
```

***

ii | Below is crystalline CoWI2 at its relaxed geometry, with properties calculated at the PBE level.

```
8
Lattice="5.933 0.000 0.000 0.000 5.933 0.000 2.966 2.966 5.799" Properties=species:S:1:pos:R:3 pbc="T T T"
I 4.310 1.483 1.450
I 1.622 4.450 1.450
I 4.450 4.589 4.349
I 7.416 7.277 4.349
Co 2.966 2.966 0.000
Co 2.966 5.933 2.900
W 0.000 0.000 0.000
W 5.933 2.966 2.900
```

***

The structure with the greatest stability is ii.

***

i | Below is crystalline Co3WI at its relaxed geometry, with properties calculated at the PBE level.

```
5
Lattice="4.546 0.000 0.000 0.000 4.546 0.000 0.000 0.000 4.546" Properties=species:S:1:pos:R:3 pbc="T T T"
I 2.273 2.273 2.273
Co 0.000 2.273 0.000
Co 0.000 0.000 2.273
Co 2.273 0.000 0.000
W 0.000 0.000 0.000
```

***

ii | Below is crystalline Co3WI at its relaxed geometry, with properties calculated at the PBE level.

```
5
Lattice="-3.893 1.059 -1.968 0.127 -3.841 -2.320 -2.231 -2.068 3.301" Properties=species:S:1:pos:R:3 pbc="T T T"
I 0.000 0.000 0.000
Co 0.064 -1.920 -1.160
Co -1.116 -1.034 1.651
Co -1.947 0.530 -0.984
W -2.998 -2.425 -0.493
```

***

The structure with the greatest stability is i.

***

i | Below is crystalline Co2WI2 at its relaxed geometry, with properties calculated at the PBE level.

```
5
Lattice="3.296 0.000 0.000 0.000 3.296 0.000 1.648 1.648 9.301" Properties=species:S:1:pos:R:3 pbc="T T T"
I 1.648 1.648 1.760
I 3.296 3.296 7.540
Co 3.296 1.648 4.650
Co 1.648 3.296 4.650
W 0.000 0.000 0.000
```

***

ii | Below is crystalline Co2WI2 at its relaxed geometry, with properties calculated at the PBE level.

```
10
Lattice="-5.337 -4.938 -0.185 0.544 -0.317 -7.246 2.207 -2.395 0.271" Properties=species:S:1:pos:R:3 pbc="T T T"
I -1.338 -1.924 -6.119
I -4.099 -4.338 -4.967
I -3.455 -3.331 -1.312
I -0.693 -0.917 -2.464
Co 0.693 -2.104 -4.545
Co -1.858 -4.641 -6.198
Co -3.279 -5.546 -2.615
Co -0.728 -3.009 -0.962
W 0.000 0.000 0.000
W -2.396 -2.628 -3.716
```

***

The structure with the greatest stability is i.